Compound: Ac2MnAuO5
Source: the Alexandria database
Functional: PBE+U
Structure: relaxed

* symmetry: P4/mbm (127)
* D(E_F): 0.10 states/eV/atom
* ρ: 8.3 Mg/m³
* calculated total energy: -6.6633 eV/atom
* calculated volume: 315.9 Å³ per cell

Unit cell a=5.9901 b=7.2624 c=7.2624 alpha=90.00 beta=90.00 gamma=90.00
With the nearest neighbours (Å) after each atom.
Fractional positions:
Au: 0.0000 0.5000 0.0000  4 O 2.02
Au: 0.0000 0.0000 0.5000  4 O 2.02
O: 0.2504 0.3685 0.1315  1 Au 2.02
O: 0.7496 0.6315 0.8685  1 Au 2.02
O: 0.2504 0.6315 0.8685  1 Au 2.02
O: 0.7496 0.1315 0.6315  1 Au 2.02
O: 0.2504 0.1315 0.6315  1 Au 2.02
O: 0.5000 0.5000 0.5000  4 Ac 2.66
O: 0.7496 0.8685 0.3685  1 Au 2.02
O: 0.7496 0.3685 0.1315  1 Au 2.02
O: 0.2504 0.8685 0.3685  1 Au 2.02
O: 0.5000 0.0000 0.0000  4 Ac 2.66
Ac: 0.5000 0.6813 0.1813  4 O 2.44-2.66
Ac: 0.5000 0.1813 0.3187  4 O 2.44-2.66
Ac: 0.5000 0.3187 0.8187  4 O 2.44-2.66
Ac: 0.5000 0.8187 0.6813  4 O 2.44-2.66
Mn: 0.0000 0.0000 0.0000  10 O 3.00-3.21
Mn: 0.0000 0.5000 0.5000  10 O 3.00-3.21